This record from Alexandria describes MgIn2PtPb after structural relaxation. The functional is PBE.

Computed properties:
Energy relative to the elements: -0.168 eV/atom
DOS at the Fermi energy: 0.7154 states/eV per atom
Size of the total moment: 0.0 μB/f.u.

Geometry as CIF:
```
data_MgIn2PtPb
_chemical_formula_sum 'Mg1 In2 Pt1 Pb1'
_space_group_name_H-M_alt 'P 4/m m m'
_space_group_IT_number 123
_space_group_name_Hall '-P 4 2'
_cell_length_a 5.191
_cell_length_b 5.191
_cell_length_c 5.082
_cell_angle_alpha 90.00
_cell_angle_beta 90.00
_cell_angle_gamma 90.00
loop_
_atom_site_label
_atom_site_fract_x
_atom_site_fract_y
_atom_site_fract_z
Mg1 0.000 0.000 0.000
In1 0.000 0.500 0.500
Pt1 0.000 0.000 0.500
Pb1 0.500 0.500 0.000
```